Entry 1:
# MgF3 (PBE, relaxed)
# Formation energy without anion corrections ... -2.072 eV/atom
# N(E_F) ... 1.41 states/eV/cell
data_MgF3
_chemical_formula_sum 'Mg2 F6'
_cell_length_a 3.134
_cell_length_b 3.134
_cell_length_c 7.949
_cell_angle_alpha 90.00
_cell_angle_beta 90.00
_cell_angle_gamma 90.00
_space_group_name_H-M_alt 'I 4/m m m'
_space_group_IT_number 139
_space_group_name_Hall '-I 4 2'
loop_
_atom_site_label
_atom_site_type_symbol
_atom_site_fract_x
_atom_site_fract_y
_atom_site_fract_z
Mg1 Mg 0.000 0.000 0.000
F1 F 0.000 0.000 0.500
F2 F 0.000 0.500 0.250

Entry 2:
# PmScZnOs (PBE, relaxed)
# Formation energy from the elements ... -0.85 eV per formula unit
# N(E_F) ... 13.70 states/eV/cell
data_PmScZnOs
_chemical_formula_sum 'Pm4 Sc4 Zn4 Os4'
_cell_length_a 6.851
_cell_length_b 6.851
_cell_length_c 6.851
_cell_angle_alpha 90.00
_cell_angle_beta 90.00
_cell_angle_gamma 90.00
_space_group_name_H-M_alt 'F -4 3 m'
_space_group_IT_number 216
_space_group_name_Hall 'F -4 2 3'
loop_
_atom_site_label
_atom_site_type_symbol
_atom_site_fract_x
_atom_site_fract_y
_atom_site_fract_z
Pm1 Pm 0.000 0.000 0.000
Sc1 Sc 0.000 0.000 0.500
Zn1 Zn 0.250 0.250 0.750
Os1 Os 0.250 0.250 0.250

Entry 3:
# NaAg (PBE, relaxed)
# Formation energy from the elements ... 0.79 eV per formula unit
data_NaAg
_chemical_formula_sum 'Na6 Ag6'
_cell_length_a 8.402
_cell_length_b 8.402
_cell_length_c 8.402
_cell_angle_alpha 90.00
_cell_angle_beta 90.00
_cell_angle_gamma 90.00
_space_group_name_H-M_alt 'P m -3 n'
_space_group_IT_number 223
_space_group_name_Hall '-P 4n 2 3'
loop_
_atom_site_label
_atom_site_type_symbol
_atom_site_fract_x
_atom_site_fract_y
_atom_site_fract_z
Na1 Na 0.000 0.250 0.500
Ag1 Ag 0.000 0.500 0.250

Entry 4:
# K3DyCl8 (PBE, relaxed)
# Formation energy without anion corrections ... -1.597 eV/atom
# N(E_F) ... 28.66 states/eV/cell
data_K3DyCl8
_chemical_formula_sum 'K6 Dy2 Cl16'
_cell_length_a 7.147
_cell_length_b 7.147
_cell_length_c 14.775
_cell_angle_alpha 90.00
_cell_angle_beta 90.00
_cell_angle_gamma 90.00
_space_group_name_H-M_alt 'I 4/m m m'
_space_group_IT_number 139
_space_group_name_Hall '-I 4 2'
loop_
_atom_site_label
_atom_site_type_symbol
_atom_site_fract_x
_atom_site_fract_y
_atom_site_fract_z
K1 K 0.000 0.000 0.000
K2 K 0.000 0.500 0.250
Dy1 Dy 0.000 0.000 0.500
Cl1 Cl 0.223 0.223 0.388

Entry 5:
# Pm3NdY3Te8 (PBE, relaxed)
# Formation energy without anion corrections ... -1.426 eV/atom
# N(E_F) ... 20.88 states/eV/cell
data_Pm3NdY3Te8
_chemical_formula_sum 'Pm9 Nd3 Y9 Te24'
_cell_length_a 8.8009
_cell_length_b 8.8009
_cell_length_c 21.5919
_cell_angle_alpha 90.00
_cell_angle_beta 90.00
_cell_angle_gamma 120.00
_space_group_name_H-M_alt 'R -3 m'
_space_group_IT_number 166
_space_group_name_Hall '-R 3 2"'
loop_
_atom_site_label
_atom_site_type_symbol
_atom_site_fract_x
_atom_site_fract_y
_atom_site_fract_z
Pm1 Pm 0.0000 0.5000 0.0000
Nd1 Nd 0.0000 0.0000 0.5000
Y1 Y 0.0000 0.5000 0.5000
Te1 Te 0.0000 0.0000 0.2473
Te2 Te 0.0156 0.5078 0.7488

Entry 6:
# AlGaNiPd (PBE, relaxed)
# Polymorph energy (0 for the lowest one) ... 39.1 meV per atom
# Formation energy from the elements ... -2.27 eV per formula unit
# N(E_F) ... 9.23 states/eV/cell
data_AlGaNiPd
_chemical_formula_sum 'Al4 Ga4 Ni4 Pd4'
_cell_length_a 6.016
_cell_length_b 6.016
_cell_length_c 6.016
_cell_angle_alpha 90.00
_cell_angle_beta 90.00
_cell_angle_gamma 90.00
_space_group_name_H-M_alt 'F -4 3 m'
_space_group_IT_number 216
_space_group_name_Hall 'F -4 2 3'
loop_
_atom_site_label
_atom_site_type_symbol
_atom_site_fract_x
_atom_site_fract_y
_atom_site_fract_z
Al1 Al 0.000 0.000 0.000
Ga1 Ga 0.000 0.000 0.500
Ni1 Ni 0.250 0.250 0.250
Pd1 Pd 0.250 0.250 0.750

Entry 7:
# SrAcRhO6 (PBE, relaxed)
# Formation energy without anion corrections ... -1.676 eV/atom
# N(E_F) ... 12.15 states/eV/cell
data_SrAcRhO6
_chemical_formula_sum 'Sr2 Ac2 Rh2 O12'
_cell_length_a 5.9416
_cell_length_b 5.9416
_cell_length_c 9.5028
_cell_angle_alpha 90.00
_cell_angle_beta 90.00
_cell_angle_gamma 120.00
_space_group_name_H-M_alt 'P -3 1 c'
_space_group_IT_number 163
_space_group_name_Hall '-P 3 2c'
loop_
_atom_site_label
_atom_site_type_symbol
_atom_site_fract_x
_atom_site_fract_y
_atom_site_fract_z
Sr1 Sr 0.0000 0.0000 0.0000
Ac1 Ac 0.3333 0.6667 0.2500
Rh1 Rh 0.3333 0.6667 0.7500
O1 O 0.0629 0.3935 0.6360

Entry 8:
# LiTlTc2Mo (PBE, relaxed)
# Formation energy from the elements ... 10.57 eV per formula unit
# N(E_F) ... 4.72 states/eV/cell
data_LiTlTc2Mo
_chemical_formula_sum 'Li1 Tl1 Tc2 Mo1'
_cell_length_a 4.951
_cell_length_b 4.951
_cell_length_c 4.039
_cell_angle_alpha 90.00
_cell_angle_beta 90.00
_cell_angle_gamma 90.00
_space_group_name_H-M_alt 'P 4/m m m'
_space_group_IT_number 123
_space_group_name_Hall '-P 4 2'
loop_
_atom_site_label
_atom_site_type_symbol
_atom_site_fract_x
_atom_site_fract_y
_atom_site_fract_z
Li1 Li 0.000 0.000 0.000
Tl1 Tl 0.000 0.000 0.500
Tc1 Tc 0.000 0.500 0.500
Mo1 Mo 0.500 0.500 0.000

Entry 9:
# BeCrCd4 (PBE, relaxed)
# Formation energy from the elements ... 3.75 eV per formula unit
# N(E_F) ... 8.04 states/eV/cell
data_BeCrCd4
_chemical_formula_sum 'Be4 Cr4 Cd16'
_cell_length_a 7.894
_cell_length_b 7.894
_cell_length_c 7.894
_cell_angle_alpha 90.00
_cell_angle_beta 90.00
_cell_angle_gamma 90.00
_space_group_name_H-M_alt 'F -4 3 m'
_space_group_IT_number 216
_space_group_name_Hall 'F -4 2 3'
loop_
_atom_site_label
_atom_site_type_symbol
_atom_site_fract_x
_atom_site_fract_y
_atom_site_fract_z
Be1 Be 0.000 0.000 0.000
Cr1 Cr 0.250 0.250 0.250
Cd1 Cd 0.125 0.125 0.625

Entry 10:
# Er4ScRh3 (PBE, relaxed)
# Formation energy from the elements ... -6.02 eV per formula unit
# N(E_F) ... 23.19 states/eV/cell
data_Er4ScRh3
_chemical_formula_sum 'Er16 Sc4 Rh12'
_cell_length_a 10.840
_cell_length_b 10.840
_cell_length_c 5.932
_cell_angle_alpha 90.00
_cell_angle_beta 90.00
_cell_angle_gamma 90.00
_space_group_name_H-M_alt 'I 4/m c m'
_space_group_IT_number 140
_space_group_name_Hall '-I 4 2c'
loop_
_atom_site_label
_atom_site_type_symbol
_atom_site_fract_x
_atom_site_fract_y
_atom_site_fract_z
Er1 Er 0.081 0.213 0.000
Sc1 Sc 0.000 0.500 0.250
Rh1 Rh 0.000 0.000 0.250
Rh2 Rh 0.151 0.349 0.500

Entry 11:
# CaMgZn2Rh (PBE, relaxed)
# Formation energy from the elements ... -1.09 eV per formula unit
# N(E_F) ... 2.36 states/eV/cell
data_CaMgZn2Rh
_chemical_formula_sum 'Ca1 Mg1 Zn2 Rh1'
_cell_length_a 4.858
_cell_length_b 4.858
_cell_length_c 4.830
_cell_angle_alpha 90.00
_cell_angle_beta 90.00
_cell_angle_gamma 90.00
_space_group_name_H-M_alt 'P 4/m m m'
_space_group_IT_number 123
_space_group_name_Hall '-P 4 2'
loop_
_atom_site_label
_atom_site_type_symbol
_atom_site_fract_x
_atom_site_fract_y
_atom_site_fract_z
Ca1 Ca 0.000 0.000 0.000
Mg1 Mg 0.500 0.500 0.000
Zn1 Zn 0.000 0.500 0.500
Rh1 Rh 0.500 0.500 0.500

Calculated total moment (μB/f.u.), listed in the same order as above: 1.00; 0.00; 0.00; 1.89; 0.00; 0.00; 1.91; 0.00; 4.36; 0.00; 0.00